# NaZr3Mn | the Alexandria database | GGA-PBE | optimized geometry
data_NaZr3Mn
_cell_length_a 4.9508
_cell_length_b 4.9508
_cell_length_c 4.9508
_cell_angle_alpha 90.00
_cell_angle_beta 90.00
_cell_angle_gamma 90.00
_symmetry_space_group_name_H-M 'P m -3 m'
_symmetry_Int_Tables_number 221
_symmetry_space_group_name_Hall '-P 4 2 3'
loop_
_atom_site_label
_atom_site_type_symbol
_atom_site_fract_x
_atom_site_fract_y
_atom_site_fract_z
Na1 Na 0.0000 0.0000 0.0000
Zr1 Zr 0.0000 0.5000 0.5000
Mn1 Mn 0.5000 0.5000 0.5000
# - calculated density (g/cm3) = 4.81
# - energy relative to the elements (meV/atom) = 482
# - distance to the lowest polymorph of the same formula (eV/f.u.) = 0.00
# - VASP energy (eV per atom) = -6.74